A relaxed structure of Rb2NbPb2. Source: Alexandria, functional PBE.

extended XYZ file:
```
10
Lattice="7.890 0.000 0.000 0.000 7.890 0.000 0.000 0.000 6.487" Properties=species:S:1:pos:R:3 pbc="T T T"
Rb 1.263 2.682 0.000
Rb 2.682 6.628 0.000
Rb 5.208 1.263 0.000
Rb 6.628 5.208 0.000
Nb 0.000 0.000 3.243
Nb 3.945 3.945 3.243
Pb 1.564 5.509 3.243
Pb 2.381 1.564 3.243
Pb 5.509 6.326 3.243
Pb 6.326 2.381 3.243
```

## Properties
Calculated volume in A^3/atom: 40.4
Total energy in eV per atom: -3.4604
Polymorph energy (0 for the lowest one) in eV/f.u.: 0.00
ΔE_f in kJ/mol of atoms: 41